This record from Alexandria via LeMat-Bulk describes Th2CdRh after structural relaxation. The functional is PBE-GGA.

Cell and atoms, written as POSCAR:
```
Th2CdRh
1.0
4.0421 0.0000 0.0000
2.0211 3.5006 0.0000
2.0211 1.1669 8.2178
Th Cd Rh
2 1 1
Direct
0.0665 0.0665 0.8006 Th
0.2671 0.2671 0.1988 Th
0.4989 0.4989 0.5033 Cd
0.6676 0.6676 0.9972 Rh
```

Calculated values
Formation enthalpy at 0 K   -0.38 eV per atom
ΔE to the lowest computed polymorph   26 meV/atom
Crystal system   trigonal
Total energy   -6.159 eV per atom
Magnetization   0.0 μB/f.u.